[1]
# HfZr2Te2 (PBE, relaxed)
# Mass density, Mg/m³: 8.10
# Uncorrected energy, eV for the cell shown: -66.0
# Magnetization, μB per atom: 0.002
data_HfZr2Te2
_chemical_formula_sum 'Hf2 Zr4 Te4'
_cell_length_a 5.331
_cell_length_b 5.331
_cell_length_c 8.891
_cell_angle_alpha 90.00
_cell_angle_beta 90.00
_cell_angle_gamma 90.00
_space_group_name_H-M_alt 'I 4/m m m'
_space_group_IT_number 139
_space_group_name_Hall '-I 4 2'
loop_
_atom_site_label
_atom_site_fract_x
_atom_site_fract_y
_atom_site_fract_z
Hf1 0.000 0.000 0.000
Zr1 0.000 0.000 0.355
Te1 0.000 0.500 0.250

=====

[2]
# AlTc (PBE, relaxed)
# Mass density, Mg/m³: 4.74
# Uncorrected energy, eV for the cell shown: -43.9
# Relative energy among the computed polymorphs, eV/atom: 1.975
# Magnetization, μB per atom: 0.966
data_AlTc
_chemical_formula_sum 'Al4 Tc4'
_cell_length_a 5.596
_cell_length_b 5.596
_cell_length_c 5.596
_cell_angle_alpha 90.00
_cell_angle_beta 90.00
_cell_angle_gamma 90.00
_space_group_name_H-M_alt 'F -4 3 m'
_space_group_IT_number 216
_space_group_name_Hall 'F -4 2 3'
loop_
_atom_site_label
_atom_site_fract_x
_atom_site_fract_y
_atom_site_fract_z
Al1 0.000 0.000 0.000
Tc1 0.250 0.250 0.750

=====

[3]
# YHoSi2Au2 (PBE, relaxed)
# Mass density, Mg/m³: 9.48
# Uncorrected energy, eV for the cell shown: -33.3
# Magnetization, μB per atom: 0.001
data_YHoSi2Au2
_chemical_formula_sum 'Y1 Ho1 Si2 Au2'
_cell_length_a 4.3096
_cell_length_b 4.3096
_cell_length_c 7.6675
_cell_angle_alpha 90.00
_cell_angle_beta 90.00
_cell_angle_gamma 120.00
_space_group_name_H-M_alt 'P 3 m 1'
_space_group_IT_number 156
loop_
_space_group_symop_operation_xyz
'x,y,z'
'-y,x-y,z'
'-x+y,-x,z'
'-y,-x,z'
'-x+y,y,z'
'x,x-y,z'
loop_
_atom_site_label
_atom_site_fract_x
_atom_site_fract_y
_atom_site_fract_z
Y1 0.0000 0.0000 0.0000
Ho1 0.0000 0.0000 0.4999
Si1 0.3333 0.6667 0.2242
Si2 0.6667 0.3333 0.7238
Au1 0.3333 0.6667 0.7648
Au2 0.6667 0.3333 0.2656

=====

[4]
# Dy2CoSi4Ir (PBE, relaxed)
# Mass density, Mg/m³: 8.38
# Uncorrected energy, eV for the cell shown: -107.3
# Magnetization, μB per atom: 0.001
data_Dy2CoSi4Ir
_chemical_formula_sum 'Dy4 Co2 Si8 Ir2'
_cell_length_a 4.051
_cell_length_b 4.067
_cell_length_c 16.552
_cell_angle_alpha 90.00
_cell_angle_beta 90.00
_cell_angle_gamma 90.00
_space_group_name_H-M_alt 'A m m 2'
_space_group_IT_number 38
loop_
_space_group_symop_operation_xyz
'x,y,z'
'-x,-y,z'
'-x,y,z'
'x,-y,z'
'x,y+1/2,z+1/2'
'-x,-y+1/2,z+1/2'
'-x,y+1/2,z+1/2'
'x,-y+1/2,z+1/2'
loop_
_atom_site_label
_atom_site_fract_x
_atom_site_fract_y
_atom_site_fract_z
Dy1 0.000 0.000 0.000
Dy2 0.500 0.000 0.210
Co1 0.500 0.000 0.429
Si1 0.000 0.000 0.365
Si2 0.000 0.000 0.642
Si3 0.500 0.000 0.563
Si4 0.500 0.000 0.864
Ir1 0.000 0.000 0.784

=====

[5]
# AcPmY (PBE, relaxed)
# Mass density, Mg/m³: 5.82
# Formation enthalpy at 0 K, kJ per mole of atoms: 66
# Uncorrected energy, eV for the cell shown: -53.1
# Relative energy among the computed polymorphs, eV/atom: 0.000
# Magnetization, μB per atom: 0.011
data_AcPmY
_chemical_formula_sum 'Ac4 Pm4 Y4'
_cell_length_a 8.072
_cell_length_b 8.072
_cell_length_c 8.072
_cell_angle_alpha 90.00
_cell_angle_beta 90.00
_cell_angle_gamma 90.00
_space_group_name_H-M_alt 'F -4 3 m'
_space_group_IT_number 216
_space_group_name_Hall 'F -4 2 3'
loop_
_atom_site_label
_atom_site_fract_x
_atom_site_fract_y
_atom_site_fract_z
Ac1 0.000 0.000 0.000
Pm1 0.000 0.000 0.500
Y1 0.250 0.250 0.250

=====

[6]
# DyCl (PBE, relaxed)
# Mass density, Mg/m³: 7.29
# Uncorrected energy, eV for the cell shown: -9.0
# Magnetization, μB per atom: 0.003
data_DyCl
_chemical_formula_sum 'Dy1 Cl1'
_cell_length_a 3.4713
_cell_length_b 3.4713
_cell_length_c 4.3205
_cell_angle_alpha 90.00
_cell_angle_beta 90.00
_cell_angle_gamma 120.00
_space_group_name_H-M_alt 'P -6 m 2'
_space_group_IT_number 187
_space_group_name_Hall 'P -6 2'
loop_
_atom_site_label
_atom_site_fract_x
_atom_site_fract_y
_atom_site_fract_z
Dy1 0.0000 0.0000 0.0000
Cl1 0.3333 0.6667 0.5000